Computed, not measured: a relaxed structure of AgHgRu at the PBE level of DFT.

Excess energy over the best structure of this formula in the dataset = 84 meV per atom
Formation energy from the elements = 589 meV/atom
Space-group type = No. 44
DOS(E_F) = 1.03 states/eV per atom

a b c (Å): 5.092 5.092 5.092
angles (deg): 146.84 132.31 59.31
Positions (direct):
1 Ag 0.000 0.000 0.000
2 Hg 0.672 0.672 0.000
3 Ru 0.338 0.338 0.000

---

Computed, not measured: a relaxed structure of Ce6CoHg2 at the PBE level of DFT.

Excess energy over the best structure of this formula in the dataset = 31 meV per atom
Formation energy from the elements = -139 meV/atom
Space-group type = No. 14
DOS(E_F) = 2.23 states/eV per atom

a b c (Å): 6.378 8.461 10.073
angles (deg): 90.00 121.15 90.00
Positions (direct):
1 Ce 0.035 0.160 0.478
2 Ce 0.035 0.340 0.978
3 Ce 0.333 0.750 0.479
4 Ce 0.333 0.750 0.979
5 Ce 0.369 0.044 0.255
6 Ce 0.369 0.456 0.755
7 Ce 0.631 0.544 0.245
8 Ce 0.631 0.956 0.745
9 Ce 0.667 0.250 0.021
10 Ce 0.667 0.250 0.521
11 Ce 0.965 0.660 0.022
12 Ce 0.965 0.840 0.522
13 Co 0.000 0.000 0.000
14 Co 0.000 0.500 0.500
15 Hg 0.173 0.082 0.812
16 Hg 0.173 0.418 0.312
17 Hg 0.827 0.582 0.688
18 Hg 0.827 0.918 0.188

---

Computed, not measured: a relaxed structure of SrTb2CeSe4 at the PBE level of DFT.

Space-group type = No. 10
DOS(E_F) = 1.10 states/eV per atom
Formation energy without anion corrections = -1831 meV per atom

a b c (Å): 7.281 4.173 7.300
angles (deg): 90.00 109.12 90.00
Positions (direct):
1 Sr 0.000 0.000 0.000
2 Tb 0.500 0.000 0.500
3 Tb 0.500 0.500 0.000
4 Ce 0.000 0.500 0.500
5 Se 0.262 0.000 0.752
6 Se 0.265 0.500 0.258
7 Se 0.735 0.500 0.742
8 Se 0.738 0.000 0.248